Record 1
Here is a relaxed structure of Sr2YMg from the Alexandria database. Energies are from PBE.

a = 3.9559 Å, b = 3.9559 Å, c = 10.1301 Å
α = 90.00°, β = 90.00°, γ = 90.00°
Atoms (fractional coordinates):
Sr1 0.5000 0.5000 0.2789
Sr2 0.0000 0.0000 0.9462
Mg1 0.5000 0.5000 0.7217
Y1 0.0000 0.0000 0.5532

***

Record 2
Here is a relaxed structure of SrYMg from the Alexandria database. Energies are from PBE.

a = 7.4091 Å, b = 7.4093 Å, c = 3.9052 Å
α = 74.72°, β = 74.72°, γ = 30.56°
Atoms (fractional coordinates):
Y1 0.6397 0.6397 0.3603
Mg1 0.0138 0.0138 0.9862
Sr1 0.3464 0.3464 0.6536

Properties
* E above lowest polymorph: 0.000 eV/atom

***

Record 3
Here is a relaxed structure of Sr2YMg from the Alexandria database. Energies are from PBE.

a = 6.5984 Å, b = 6.5984 Å, c = 6.5984 Å
α = 132.13°, β = 132.13°, γ = 70.02°
Atoms (fractional coordinates):
Mg1 0.7500 0.2500 0.5000
Sr1 0.0000 0.0000 0.0000
Sr2 0.5000 0.5000 0.0000
Y1 0.2500 0.7500 0.5000

***

Record 4
Here is a relaxed structure of Sr3YMg from the Alexandria database. Energies are from PBE.

a = 6.5378 Å, b = 6.5378 Å, c = 6.5378 Å
α = 90.00°, β = 90.00°, γ = 90.00°
Atoms (fractional coordinates):
Sr1 0.5000 0.0000 0.0000
Sr2 0.0000 0.5000 0.0000
Sr3 0.0000 0.0000 0.5000
Y1 0.0000 0.0000 0.0000
Mg1 0.5000 0.5000 0.5000

Properties
* E above lowest polymorph: 0.295 eV/atom

***

Record 5
Here is a relaxed structure of Sr2YMg from the Alexandria database. Energies are from PBE.

a = 7.0361 Å, b = 7.0361 Å, c = 5.9199 Å
α = 65.02°, β = 65.02°, γ = 35.67°
Atoms (fractional coordinates):
Sr1 0.0227 0.0227 0.9773
Sr2 0.4773 0.4773 0.5227
Y1 0.2500 0.2500 0.2500
Mg1 0.7500 0.7500 0.7500

***

Record 6
Here is a relaxed structure of SrY2Mg2 from the Alexandria database. Energies are from PBE.

a = 9.4254 Å, b = 9.4254 Å, c = 3.6044 Å
α = 90.00°, β = 90.00°, γ = 90.00°
Atoms (fractional coordinates):
Mg1 0.6701 0.8299 0.5000
Mg2 0.8299 0.3299 0.5000
Mg3 0.3299 0.1701 0.5000
Mg4 0.1701 0.6701 0.5000
Sr1 0.0000 0.0000 0.0000
Sr2 0.5000 0.5000 0.0000
Y1 0.1236 0.3764 0.0000
Y2 0.3764 0.8764 0.0000
Y3 0.8764 0.6236 0.0000
Y4 0.6236 0.1236 0.0000

Properties
* E above lowest polymorph: 0.000 eV/atom

***

For reference, energy of formation by record: 0.0376; 0.0414; 0.1838; 0.7909; 0.1618; 0.0330 eV/atom.
For reference, magnetization by record: 0.38; 0.34; 0.00; 3.03; 0.00; 0.00 Bohr magnetons per cell.
For reference, calculated total energy by record: -11.3; -9.6; -10.7; -9.1; -10.8; -35.3 eV for the cell shown.